(1)
PBE-GGA Pm2Pr12Ho5, optimized geometry; mass density = 7.058 Mg/m³; crystal system = monoclinic; spin magnetization = 0.000 μB per atom; symmetry = C2/m (12)
1.0
-8.7571 -7.9107 -0.7937
10.1571 -2.6722 2.6962
-2.2016 1.8770 5.5828
Pr Ho Pm
12 5 2
Cartesian
-0.0101 -8.9663 1.3487
-0.7914 0.2604 6.1365
1.5290 -6.5114 3.7689
3.8355 -0.6023 6.0490
-2.3305 -2.1946 3.7164
-0.3741 -4.4050 5.6674
-6.7284 -6.1674 3.3178
5.9269 -2.5385 4.1675
-0.4274 -4.3009 1.8178
-4.3245 -4.1943 1.3891
-4.6370 -8.1036 1.4363
3.5230 -4.5116 6.0961
-1.1008 0.9385 2.7914
-2.0704 -6.8943 3.4289
3.4052 -3.9978 2.2742
-4.2068 -4.7081 5.2110
1.2689 -1.8116 4.0564
-1.9976 -1.8046 -0.1811
-6.7594 -6.1062 -0.6126

***

(2)
PBE-GGA LaMo2Ir, optimized geometry; mass density = 11.634 Mg/m³; crystal system = orthorhombic; spin magnetization = 0.000 μB per atom; symmetry = Cmmm (65)
1.0
-0.9662 -3.1966 -4.4329
4.2526 -0.9654 3.4330
-1.6622 -1.6928 1.5830
Ir La Mo
1 1 2
Cartesian
-1.3142 -2.4447 -1.4249
1.2952 -1.3291 2.5080
0.0000 0.0000 0.0000
1.6432 -2.0810 -0.4999

***

| no. | total energy (eV/cell) |
| --- | --- |
| 1 | -87.92 |
| 2 | -33.31 |